--- w ---
A plane-wave DFT calculation with PBE was carried out for an optimized crystal structure of LiMg2Pd2.

a b c (Å): 7.667 7.667 2.966
angles (deg): 90.00 90.00 90.00
Element x y z (fractional)
Mg (0.643, 0.143, 0.000)
Mg (0.357, 0.857, 0.000)
Mg (0.143, 0.357, 0.000)
Mg (0.857, 0.643, 0.000)
Pd (0.153, 0.653, 0.500)
Pd (0.847, 0.347, 0.500)
Pd (0.347, 0.153, 0.500)
Pd (0.653, 0.847, 0.500)
Li (0.500, 0.500, 0.000)
Li (0.000, 0.000, 0.000)

---

--- x ---
A plane-wave DFT calculation with PBE was carried out for an optimized crystal structure of LiMg2Pd2.

a b c (Å): 7.601 7.601 3.021
angles (deg): 90.00 90.00 90.00
Element x y z (fractional)
Mg (0.153, 0.653, 0.500)
Mg (0.347, 0.153, 0.500)
Mg (0.847, 0.347, 0.500)
Mg (0.653, 0.847, 0.500)
Li (0.500, 0.500, 0.000)
Li (0.000, 0.000, 0.000)
Pd (0.643, 0.143, 0.000)
Pd (0.357, 0.857, 0.000)
Pd (0.143, 0.357, 0.000)
Pd (0.857, 0.643, 0.000)

---

--- y ---
A plane-wave DFT calculation with PBE was carried out for an optimized crystal structure of LiMg2Pd2.

a b c (Å): 5.699 7.157 8.378
angles (deg): 90.00 89.99 90.00
Element x y z (fractional)
Li (0.250, 0.414, 0.380)
Li (0.750, 0.086, 0.380)
Li (0.750, 0.586, 0.620)
Li (0.250, 0.914, 0.620)
Pd (0.000, 0.250, 0.124)
Pd (0.500, 0.250, 0.124)
Pd (0.500, 0.750, 0.876)
Pd (0.000, 0.750, 0.400)
Pd (0.000, 0.250, 0.600)
Pd (0.500, 0.250, 0.600)
Pd (0.000, 0.750, 0.876)
Pd (0.500, 0.750, 0.400)
Mg (0.750, 0.459, 0.314)
Mg (0.250, 0.541, 0.686)
Mg (0.250, 0.607, 0.117)
Mg (0.750, 0.959, 0.686)
Mg (0.250, 0.107, 0.883)
Mg (0.250, 0.041, 0.314)
Mg (0.750, 0.393, 0.883)
Mg (0.750, 0.893, 0.117)

---

--- z ---
A plane-wave DFT calculation with PBE was carried out for an optimized crystal structure of LiMg2Pd2.

a b c (Å): 5.116 5.119 4.039
angles (deg): 66.60 66.59 67.81
Element x y z (fractional)
Mg (0.699, 0.198, 0.800)
Mg (0.301, 0.802, 0.200)
Pd (0.265, 0.236, 0.500)
Pd (0.735, 0.764, 0.500)
Li (0.000, 0.500, 0.000)

---

Q: What are the energies relative to the best structure? A: w 26; x 0; y 54; z 6, in meV per atom.

---

--- w ---
A plane-wave DFT calculation with PBE was carried out for an optimized crystal structure of LiMgPd3.

a b c (Å): 3.081 8.099 4.358
angles (deg): 90.02 45.02 100.91
Element x y z (fractional)
Mg (0.887, 0.541, 0.023)
Pd (0.681, 0.335, 0.626)
Pd (0.085, 0.740, 0.424)
Pd (0.313, 0.967, 0.810)
Li (0.487, 0.142, 0.223)

---

--- x ---
A plane-wave DFT calculation with PBE was carried out for an optimized crystal structure of LiMgPd3.

a b c (Å): 4.299 4.299 4.299
angles (deg): 90.00 90.00 90.00
Element x y z (fractional)
Mg (0.500, 0.500, 0.500)
Pd (0.000, 0.000, 0.500)
Pd (0.500, 0.000, 0.000)
Pd (0.000, 0.500, 0.000)
Li (0.000, 0.000, 0.000)

---

--- y ---
A plane-wave DFT calculation with PBE was carried out for an optimized crystal structure of LiMgPd3.

a b c (Å): 5.398 6.664 9.714
angles (deg): 116.58 90.00 90.00
Element x y z (fractional)
Pd (0.340, 0.488, 0.873)
Pd (0.910, 0.244, 0.240)
Pd (0.840, 0.012, 0.627)
Pd (0.638, 0.862, 0.049)
Pd (0.090, 0.756, 0.760)
Pd (0.160, 0.988, 0.373)
Pd (0.590, 0.744, 0.740)
Pd (0.862, 0.362, 0.549)
Pd (0.410, 0.256, 0.260)
Pd (0.362, 0.138, 0.951)
Pd (0.138, 0.638, 0.451)
Pd (0.660, 0.512, 0.127)
Li (0.145, 0.889, 0.064)
Li (0.645, 0.611, 0.436)
Li (0.855, 0.111, 0.936)
Li (0.355, 0.389, 0.564)
Mg (0.341, 0.036, 0.656)
Mg (0.659, 0.964, 0.344)
Mg (0.159, 0.536, 0.156)
Mg (0.841, 0.464, 0.844)

---

Q: What are the energies relative to the best structure? A: w 0; x 382; y 46, in meV per atom.

---

--- w ---
A plane-wave DFT calculation with PBE was carried out for an optimized crystal structure of Li5MgPd4.

a b c (Å): 4.435 8.002 9.037
angles (deg): 90.00 90.00 90.00
Element x y z (fractional)
Pd (0.593, 0.686, 0.000)
Pd (0.659, 0.000, 0.274)
Pd (0.341, 0.500, 0.774)
Pd (0.407, 0.186, 0.500)
Pd (0.593, 0.314, 0.000)
Pd (0.659, 0.000, 0.726)
Pd (0.407, 0.814, 0.500)
Pd (0.341, 0.500, 0.226)
Mg (0.731, 0.000, 0.000)
Mg (0.269, 0.500, 0.500)
Li (0.214, 0.178, 0.186)
Li (0.040, 0.500, 0.000)
Li (0.214, 0.178, 0.814)
Li (0.214, 0.822, 0.186)
Li (0.786, 0.678, 0.314)
Li (0.960, 0.000, 0.500)
Li (0.786, 0.322, 0.686)
Li (0.786, 0.678, 0.686)
Li (0.786, 0.322, 0.314)
Li (0.214, 0.822, 0.814)

---

--- x ---
A plane-wave DFT calculation with PBE was carried out for an optimized crystal structure of Li5MgPd4.

a b c (Å): 4.342 5.339 6.804
angles (deg): 105.02 108.61 90.00
Element x y z (fractional)
Mg (0.500, 0.000, 0.000)
Pd (0.296, 0.697, 0.591)
Pd (0.099, 0.888, 0.198)
Pd (0.901, 0.112, 0.802)
Pd (0.704, 0.303, 0.409)
Li (0.500, 0.500, 0.000)
Li (0.294, 0.193, 0.588)
Li (0.706, 0.807, 0.412)
Li (0.895, 0.613, 0.790)
Li (0.105, 0.387, 0.210)

---

Q: What are the energies relative to the best structure? A: w 124; x 0, in meV per atom.

---

--- w ---
A plane-wave DFT calculation with PBE was carried out for an optimized crystal structure of LiMg6Pd2.

a b c (Å): 4.431 8.582 8.588
angles (deg): 90.00 90.00 90.00
Element x y z (fractional)
Pd (0.000, 0.700, 0.200)
Pd (0.500, 0.200, 0.300)
Pd (0.000, 0.300, 0.800)
Pd (0.500, 0.800, 0.700)
Mg (0.000, 0.317, 0.471)
Mg (0.000, 0.369, 0.131)
Mg (0.500, 0.817, 0.029)
Mg (0.500, 0.131, 0.631)
Mg (0.500, 0.528, 0.317)
Mg (0.500, 0.869, 0.369)
Mg (0.000, 0.972, 0.817)
Mg (0.500, 0.183, 0.971)
Mg (0.500, 0.472, 0.683)
Mg (0.000, 0.631, 0.869)
Mg (0.000, 0.028, 0.183)
Mg (0.000, 0.683, 0.529)
Li (0.500, 0.500, 0.000)
Li (0.000, 0.000, 0.500)

---

--- x ---
A plane-wave DFT calculation with PBE was carried out for an optimized crystal structure of LiMg6Pd2.

a b c (Å): 4.665 4.664 8.647
angles (deg): 90.00 90.00 120.01
Element x y z (fractional)
Mg (0.333, 0.667, 0.597)
Mg (0.667, 0.333, 0.057)
Mg (0.000, 0.000, 0.191)
Mg (0.667, 0.333, 0.403)
Mg (0.000, 0.000, 0.809)
Mg (0.333, 0.667, 0.943)
Li (0.000, 0.000, 0.500)
Pd (0.333, 0.667, 0.268)
Pd (0.667, 0.333, 0.732)

---

Q: What are the energies relative to the best structure? A: w 0; x 7, in meV per atom.

---

--- w ---
A plane-wave DFT calculation with PBE was carried out for an optimized crystal structure of Li3MgPd4.

a b c (Å): 5.771 5.771 5.771
angles (deg): 78.12 129.30 124.92
Element x y z (fractional)
Li (0.839, 0.000, 0.839)
Li (0.582, 0.238, 0.820)
Li (0.582, 0.762, 0.345)
Pd (0.078, 0.750, 0.328)
Pd (0.080, 0.754, 0.834)
Pd (0.080, 0.246, 0.326)
Pd (0.578, 0.250, 0.328)
Mg (0.331, 0.500, 0.831)

---

--- x ---
A plane-wave DFT calculation with PBE was carried out for an optimized crystal structure of Li3MgPd4.

a b c (Å): 4.307 4.307 6.809
angles (deg): 108.37 108.44 90.00
Element x y z (fractional)
Pd (0.629, 0.629, 0.258)
Pd (0.371, 0.371, 0.742)
Pd (0.871, 0.871, 0.742)
Pd (0.129, 0.129, 0.258)
Li (0.248, 0.749, 0.496)
Li (0.000, 0.500, 0.000)
Li (0.752, 0.251, 0.504)
Mg (0.500, 0.000, 0.000)

---

Q: What are the energies relative to the best structure? A: w 143; x 0, in meV per atom.

---

--- w ---
A plane-wave DFT calculation with PBE was carried out for an optimized crystal structure of LiPmMg3.

a b c (Å): 4.713 7.508 7.716
angles (deg): 106.47 90.00 108.29
Element x y z (fractional)
Li (0.470, 0.940, 0.828)
Li (0.530, 0.060, 0.172)
Mg (0.061, 0.122, 0.371)
Mg (0.939, 0.878, 0.629)
Mg (0.734, 0.467, 0.348)
Mg (0.381, 0.763, 0.347)
Mg (0.266, 0.533, 0.652)
Mg (0.619, 0.237, 0.653)
Pm (0.152, 0.304, 0.002)
Pm (0.848, 0.696, 0.998)

---

--- x ---
A plane-wave DFT calculation with PBE was carried out for an optimized crystal structure of LiPmMg3.

a b c (Å): 4.949 4.949 4.949
angles (deg): 90.00 90.00 90.00
Element x y z (fractional)
Li (0.000, 0.000, 0.000)
Pm (0.500, 0.500, 0.500)
Mg (0.500, 0.000, 0.000)
Mg (0.000, 0.500, 0.000)
Mg (0.000, 0.000, 0.500)

---

--- y ---
A plane-wave DFT calculation with PBE was carried out for an optimized crystal structure of LiPmMg3.

a b c (Å): 4.504 7.272 7.864
angles (deg): 75.34 90.00 90.00
Element x y z (fractional)
Pm (0.881, 0.164, 0.561)
Pm (0.381, 0.511, 0.246)
Li (0.381, 0.813, 0.646)
Li (0.881, 0.862, 0.160)
Mg (0.881, 0.687, 0.887)
Mg (0.381, 0.019, 0.297)
Mg (0.881, 0.656, 0.509)
Mg (0.881, 0.261, 0.047)
Mg (0.381, 0.987, 0.920)
Mg (0.381, 0.414, 0.758)

---

Q: What are the energies relative to the best structure? A: w 0; x 80; y 10, in meV per atom.